(1)
{"formula": "SrSb2Ru", "functional": "PBE-GGA", "state": "optimized geometry", "cell": [[0.000, 3.593, 3.593], [3.593, 0.000, 3.593], [3.593, 3.593, 0.000]], "species": ["Sr", "Sb", "Sb", "Ru"], "fractional_positions": [[0.000, 0.000, 0.000], [0.250, 0.250, 0.250], [0.750, 0.750, 0.750], [0.500, 0.500, 0.500]], "formation_energy_uncorrected_ev_per_atom": -0.05, "dft_energy_ev_per_atom": -4.851}

(2)
{"formula": "SrSb3Ru", "functional": "PBE-GGA", "state": "optimized geometry", "cell": [[5.874, 0.000, 0.000], [0.000, 5.874, 0.000], [0.000, 0.000, 5.874]], "species": ["Sr", "Sb", "Sb", "Sb", "Ru"], "fractional_positions": [[0.000, 0.000, 0.000], [0.000, 0.000, 0.500], [0.000, 0.500, 0.000], [0.500, 0.000, 0.000], [0.500, 0.500, 0.500]], "relative_energy_ev_per_atom": 1.693, "formation_energy_uncorrected_ev_per_atom": 1.65, "dft_energy_ev_per_atom": -3.019}

(3)
{"formula": "SrSbTe2Ru", "functional": "PBE-GGA", "state": "optimized geometry", "cell": [[5.560, 0.000, 0.000], [0.000, 5.560, 0.000], [0.000, 0.000, 4.939]], "species": ["Sr", "Sb", "Te", "Te", "Ru"], "fractional_positions": [[0.000, 0.000, 0.000], [0.500, 0.500, 0.000], [0.000, 0.500, 0.500], [0.500, 0.000, 0.500], [0.500, 0.500, 0.500]], "relative_energy_ev_per_atom": 0.000, "formation_energy_uncorrected_ev_per_atom": -0.25, "dft_energy_ev_per_atom": -4.523}

Number 1: magnetic moment 0.00 Bohr magnetons per cell, ρ 7738 kg/m³. Number 2: magnetic moment 3.01 Bohr magnetons per cell, ρ 4539 kg/m³. Number 3: magnetic moment 0.57 Bohr magnetons per cell, ρ 6152 kg/m³.